## LiMgSi (PBE)

Data for crystalline LiMgSi at its relaxed geometry.

It has space group F-43m (No. 216), with a = 6.2580 Å, b = 6.2580 Å, c = 6.2580 Å, α = 90.00°, β = 90.00° and γ = 90.00°. The asymmetric unit holds Li at (0.0000, 0.0000, 0.0000), Mg at (0.0000, 0.0000, 0.5000) and Si at (0.2500, 0.2500, 0.7500).

The calculation puts the uncorrected formation energy at -0.017 eV per atom.

---

## LiSmMgSi2 (PBE)

Data for crystalline LiSmMgSi2 at its relaxed geometry.

It has space group I-4m2 (No. 119), with a = 4.1513 Å, b = 4.1513 Å, c = 11.3859 Å, α = 90.00°, β = 90.00° and γ = 90.00°. The asymmetric unit holds Li at (0.0000, 0.0000, 0.0000), Sm at (0.0000, 0.5000, 0.2500), Mg at (0.0000, 0.0000, 0.5000) and Si at (0.0000, 0.5000, 0.6470).

The calculation puts the uncorrected formation energy at -0.447 eV per atom.

---

## LiMgSiSn (PBE)

Data for crystalline LiMgSiSn at its relaxed geometry.

It has space group F-43m (No. 216), with a = 6.7953 Å, b = 6.7953 Å, c = 6.7953 Å, α = 90.00°, β = 90.00° and γ = 90.00°. The asymmetric unit holds Li at (0.0000, 0.0000, 0.0000), Mg at (0.0000, 0.0000, 0.5000), Si at (0.2500, 0.2500, 0.7500) and Sn at (0.2500, 0.2500, 0.2500).

The calculation puts the uncorrected formation energy at -0.016 eV per atom.

---

## Li3Mg3SiSn2 (PBE)

Data for crystalline Li3Mg3SiSn2 at its relaxed geometry.

It has space group P-62m (No. 189), with a = 7.9235 Å, b = 7.9235 Å, c = 3.3703 Å, α = 90.00°, β = 90.00° and γ = 120.00°. The asymmetric unit holds Li at (0.0000, 0.3675, 0.0000), Mg at (0.0000, 0.7277, 0.5000), Si at (0.0000, 0.0000, 0.0000) and Sn at (0.3333, 0.6667, 0.5000).

The calculation puts the uncorrected formation energy at -0.259 eV per atom.

---

## Sr2LiMgSi3 (PBE)

Data for crystalline Sr2LiMgSi3 at its relaxed geometry.

It has space group Cmc2_1 (No. 36), with a = 4.6084 Å, b = 19.5277 Å, c = 7.1820 Å, α = 90.00°, β = 90.00° and γ = 90.00°. The asymmetric unit holds Sr at (0.0000, 0.0557, 0.0000), Sr at (0.0000, 0.1537, 0.5149), Li at (0.0000, 0.3081, 0.3010), Mg at (0.0000, 0.3098, 0.6943), Si at (0.0000, 0.2219, 0.9976), Si at (0.0000, 0.4466, 0.8338) and Si at (0.0000, 0.4477, 0.1677).

The calculation puts the uncorrected formation energy at -0.412 eV per atom.

---

## SrLiMgSi (PBE)

Data for crystalline SrLiMgSi at its relaxed geometry.

It has space group F-43m (No. 216), with a = 7.1498 Å, b = 7.1498 Å, c = 7.1498 Å, α = 90.00°, β = 90.00° and γ = 90.00°. The asymmetric unit holds Sr at (0.0000, 0.0000, 0.0000), Li at (0.2500, 0.2500, 0.7500), Mg at (0.0000, 0.0000, 0.5000) and Si at (0.2500, 0.2500, 0.2500).

The calculation puts the uncorrected formation energy at -0.106 eV per atom.

---

## LiTbMgSi (PBE)

Data for crystalline LiTbMgSi at its relaxed geometry.

It has space group F-43m (No. 216), with a = 6.7835 Å, b = 6.7835 Å, c = 6.7835 Å, α = 90.00°, β = 90.00° and γ = 90.00°. The asymmetric unit holds Li at (0.0000, 0.0000, 0.0000), Tb at (0.2500, 0.2500, 0.2500), Mg at (0.2500, 0.2500, 0.7500) and Si at (0.0000, 0.0000, 0.5000).

The calculation puts the uncorrected formation energy at -0.241 eV per atom.

---

## Li2ThMgSi2 (PBE)

Data for crystalline Li2ThMgSi2 at its relaxed geometry.

It has space group P-3m1 (No. 164), with a = 4.3352 Å, b = 4.3352 Å, c = 6.9564 Å, α = 90.00°, β = 90.00° and γ = 120.00°. The asymmetric unit holds Li at (0.3333, 0.6667, 0.1631), Th at (0.0000, 0.0000, 0.5000), Mg at (0.0000, 0.0000, 0.0000) and Si at (0.3333, 0.6667, 0.7557).

The calculation puts the uncorrected formation energy at -0.411 eV per atom.

---

## Li6SmMg6 (PBE)

Data for crystalline Li6SmMg6 at its relaxed geometry.

It has space group Immm (No. 71), with a = 5.4619 Å, b = 10.0716 Å, c = 10.2975 Å, α = 90.00°, β = 90.00° and γ = 90.00°. The asymmetric unit holds Li at (0.0000, 0.0000, 0.2218), Li at (0.2500, 0.2500, 0.2500), Sm at (0.0000, 0.5000, 0.5000), Mg at (0.0000, 0.1518, 0.5000), Mg at (0.0000, 0.1979, 0.0000) and Mg at (0.0000, 0.5000, 0.1493).

The value obtained for the energy of formation from the pure elements is -0.03 eV per atom.

---

## LiSm2Mg3 (PBE)

Data for crystalline LiSm2Mg3 at its relaxed geometry.

It has space group P4/mmm (No. 123), with a = 3.7240 Å, b = 3.7240 Å, c = 11.3992 Å, α = 90.00°, β = 90.00° and γ = 90.00°. The asymmetric unit holds Li at (0.0000, 0.0000, 0.0000), Sm at (0.0000, 0.0000, 0.3301), Mg at (0.5000, 0.5000, 0.1434) and Mg at (0.5000, 0.5000, 0.5000).

As for the offset from the most stable computed form: 0 meV per atom. The value obtained for the energy of formation from the pure elements is -0.06 eV per atom.

---

## Li4SmMg (PBE)

Data for crystalline Li4SmMg at its relaxed geometry.

It has space group F-43m (No. 216), with a = 8.0549 Å, b = 8.0549 Å, c = 8.0549 Å, α = 90.00°, β = 90.00° and γ = 90.00°. The asymmetric unit holds Li at (0.1234, 0.1234, 0.3766), Sm at (0.0000, 0.0000, 0.0000) and Mg at (0.2500, 0.2500, 0.7500).

The value obtained for the energy of formation from the pure elements is 0.01 eV per atom.

---

## LiSm2Mg5 (PBE)

Data for crystalline LiSm2Mg5 at its relaxed geometry.

It has space group I4/mmm (No. 139), with a = 4.9379 Å, b = 4.9379 Å, c = 16.6704 Å, α = 90.00°, β = 90.00° and γ = 90.00°. The asymmetric unit holds Li at (0.0000, 0.0000, 0.0000), Sm at (0.0000, 0.0000, 0.2544), Mg at (0.0000, 0.0000, 0.5000) and Mg at (0.0000, 0.5000, 0.1088).

The value obtained for the energy of formation from the pure elements is -0.05 eV per atom.

---

## Li2Sm3Mg3 (PBE)

Data for crystalline Li2Sm3Mg3 at its relaxed geometry.

It has space group R3m (No. 160, hexagonal axes), with a = 5.3090 Å, b = 5.3090 Å, c = 25.9857 Å, α = 90.00°, β = 90.00° and γ = 120.00°. The asymmetric unit holds Li at (0.0000, 0.0000, 0.0000), Li at (0.0000, 0.0000, 0.4925), Sm at (0.0000, 0.0000, 0.3693), Sm at (0.0000, 0.0000, 0.6199), Sm at (0.0000, 0.0000, 0.8705), Mg at (0.0000, 0.0000, 0.1199), Mg at (0.0000, 0.0000, 0.2404) and Mg at (0.0000, 0.0000, 0.7471).

The value obtained for the energy of formation from the pure elements is 0.02 eV per atom.

---

Across the entries above, total moment takes the values 0.000 0.000 0.000 0.000 0.000 0.000 0.000 0.000 0.000 0.000 0.000 0.000 0.000 μB/f.u., respectively.